(1)
Entry from Alexandria via LeMat-Bulk: a geometry-optimized AcAlOs structure (PBE-GGA).

abc: 4.3249 4.3249 4.5052
angles: 90.00 90.00 120.00
Space group P-6m2 (No. 187)
Unique sites:
Ac1 0.0000 0.0000 0.0000 x1
Al1 0.6667 0.3333 0.5000 x1
Os1 0.3333 0.6667 0.5000 x1

Properties
**Energy above the lowest structure with this stoichiometry**: 89.4 meV per atom



(2)
Entry from Alexandria via LeMat-Bulk: a geometry-optimized AcAl4Os structure (PBE-GGA).

abc: 7.910 4.218 7.378
angles: 90.00 90.00 90.00
Space group Pmma (No. 51)
Unique sites:
Ac1 0.250 0.000 0.120 x2
Al1 0.000 0.000 0.500 x2
Al2 0.073 0.500 0.789 x4
Al3 0.250 0.500 0.463 x2
Os1 0.250 0.000 0.687 x2

Properties
**Total energy**: -66.191 eV/cell



(3)
Entry from Alexandria via LeMat-Bulk: a geometry-optimized AcAl2Os structure (PBE-GGA).

abc: 15.703 7.221 6.143
angles: 90.00 90.00 90.00
Space group Pnma (No. 62)
Unique sites:
Ac1 0.094 0.250 0.205 x4
Ac2 0.134 0.750 0.019 x4
Al1 0.054 0.067 0.686 x8
Al2 0.207 0.551 0.532 x8
Os1 0.071 0.750 0.490 x4
Os2 0.196 0.250 0.773 x4

Properties
**Total energy**: -195.337 eV/cell



(4)
Entry from Alexandria via LeMat-Bulk: a geometry-optimized Ac2AlP structure (PBE-GGA).

abc: 7.756 7.756 7.756
angles: 90.00 90.00 90.00
Space group Fm-3m (No. 225)
Unique sites:
Ac1 0.250 0.250 0.250 x8
Al1 0.000 0.000 0.000 x4
P1 0.000 0.000 0.500 x4

Properties
**Energy above the lowest structure with this stoichiometry**: 203.8 meV per atom



(5)
Entry from Alexandria via LeMat-Bulk: a geometry-optimized AcAlP2 structure (PBE-GGA).

abc: 3.729 3.729 6.116
angles: 90.00 90.00 90.00
Space group P4/mmm (No. 123)
Unique sites:
Ac1 0.000 0.000 0.000 x1
Al1 0.000 0.000 0.500 x1
P1 0.500 0.500 0.311 x2

Properties
**Energy above the lowest structure with this stoichiometry**: 320.5 meV per atom



(6)
Entry from Alexandria via LeMat-Bulk: a geometry-optimized AcAlP2 structure (PBE-GGA).

abc: 4.0828 4.0828 18.9795
angles: 90.00 90.00 120.00
Space group R-3m (No. 166, hexagonal axes)
Unique sites:
Ac1 0.0000 0.0000 0.0000 x3
Al1 0.0000 0.0000 0.5000 x3
P1 0.0000 0.0000 0.2319 x6

Properties
**Energy above the lowest structure with this stoichiometry**: 0.0 meV per atom



(7)
Entry from Alexandria via LeMat-Bulk: a geometry-optimized AcAlP2 structure (PBE-GGA).

abc: 4.759 4.759 3.897
angles: 90.00 90.00 90.00
Space group P4/mmm (No. 123)
Unique sites:
Ac1 0.000 0.000 0.000 x1
Al1 0.500 0.500 0.000 x1
P1 0.000 0.500 0.500 x2

Properties
**Energy above the lowest structure with this stoichiometry**: 306.2 meV per atom



(8)
Entry from Alexandria via LeMat-Bulk: a geometry-optimized Ac2AlP structure (PBE-GGA).

abc: 4.1000 4.1000 31.2863
angles: 90.00 90.00 120.00
Space group R-3m (No. 166, hexagonal axes)
Unique sites:
Ac1 0.0000 0.0000 0.1082 x6
Al1 0.0000 0.0000 0.0000 x3
P1 0.0000 0.0000 0.5000 x3

Properties
**Energy above the lowest structure with this stoichiometry**: 340.5 meV per atom



(9)
Entry from Alexandria via LeMat-Bulk: a geometry-optimized AcAlP structure (PBE-GGA).

abc: 3.577 3.577 10.989
angles: 90.00 90.00 90.00
Space group I4mm (No. 107)
Unique sites:
Ac1 0.000 0.000 0.000 x2
Al1 0.000 0.000 0.287 x2
P1 0.000 0.000 0.705 x2

Properties
**Energy above the lowest structure with this stoichiometry**: 223.4 meV per atom



(10)
Entry from Alexandria via LeMat-Bulk: a geometry-optimized AcAlP structure (PBE-GGA).

abc: 4.315 5.014 14.752
angles: 90.00 90.00 90.00
Space group Immm (No. 71)
Unique sites:
Ac1 0.000 0.000 0.153 x4
Al1 0.000 0.258 0.500 x4
P1 0.000 0.000 0.361 x4

Properties
**Energy above the lowest structure with this stoichiometry**: 0.0 meV per atom



(11)
Entry from Alexandria via LeMat-Bulk: a geometry-optimized Ac2AlP structure (PBE-GGA).

abc: 3.878 3.878 7.657
angles: 90.00 90.00 90.00
Space group P4/mmm (No. 123)
Unique sites:
Ac1 0.000 0.000 0.229 x2
Al1 0.500 0.500 0.500 x1
P1 0.500 0.500 0.000 x1

Properties
**Energy above the lowest structure with this stoichiometry**: 0.0 meV per atom



(12)
Entry from Alexandria via LeMat-Bulk: a geometry-optimized Ac2AlPPd6 structure (PBE-GGA).

abc: 11.215 6.486 6.885
angles: 90.00 122.77 90.00
Space group C2/m (No. 12)
Unique sites:
Ac1 0.224 0.000 0.174 x4
Al1 0.000 0.500 0.000 x2
P1 0.000 0.000 0.500 x2
Pd1 0.037 0.284 0.330 x8
Pd2 0.246 0.000 0.670 x4

Properties
**Total energy**: -113.152 eV/cell



(13)
Entry from Alexandria via LeMat-Bulk: a geometry-optimized Ac3AlP2Pd9 structure (PBE-GGA).

abc: 6.4471 6.4471 8.8364
angles: 90.00 90.00 120.00
Space group P-3m1 (No. 164)
Unique sites:
Ac1 0.0000 0.0000 0.0000 x1
Ac2 0.3333 0.6667 0.6435 x2
Al1 0.0000 0.0000 0.5000 x1
P1 0.3333 0.6667 0.1698 x2
Pd1 0.0000 0.5000 0.0000 x3
Pd2 0.1503 0.3007 0.2897 x6

Properties
**Total energy**: -85.203 eV/cell



(14)
Entry from Alexandria via LeMat-Bulk: a geometry-optimized Ac3AlP2Pt9 structure (PBE-GGA).

abc: 6.4505 6.4505 8.8655
angles: 90.00 90.00 120.00
Space group P-3m1 (No. 164)
Unique sites:
Ac1 0.0000 0.0000 0.0000 x1
Ac2 0.3333 0.6667 0.6468 x2
Al1 0.0000 0.0000 0.5000 x1
P1 0.3333 0.6667 0.1772 x2
Pt1 0.0000 0.5000 0.0000 x3
Pt2 0.1486 0.2971 0.2889 x6

Properties
**Total energy**: -93.863 eV/cell



(15)
Entry from Alexandria via LeMat-Bulk: a geometry-optimized AcPu2AlP4 structure (PBE-GGA).

abc: 4.062 13.609 13.525
angles: 90.00 90.00 90.00
Space group Cmcm (No. 63)
Unique sites:
Ac1 0.000 0.115 0.250 x4
Pu1 0.000 0.370 0.055 x8
Al1 0.000 0.153 0.750 x4
P1 0.000 0.000 0.000 x4
P2 0.000 0.264 0.617 x8
P3 0.000 0.443 0.250 x4

Properties
**Total energy**: -266.267 eV/cell



(16)
Entry from Alexandria via LeMat-Bulk: a geometry-optimized Ac2AlPRh6 structure (PBE-GGA).

abc: 10.579 6.121 7.069
angles: 90.00 119.70 90.00
Space group C2/m (No. 12)
Unique sites:
Ac1 0.232 0.000 0.194 x4
Al1 0.000 0.500 0.000 x2
P1 0.000 0.000 0.500 x2
Rh1 0.032 0.275 0.318 x8
Rh2 0.244 0.000 0.684 x4

Properties
**Total energy**: -136.320 eV/cell



(17)
Entry from Alexandria via LeMat-Bulk: a geometry-optimized Ac2AlP3Rh12 structure (PBE-GGA).

abc: 8.3979 8.3979 16.3663
angles: 90.00 90.00 120.00
Space group R-3m (No. 166, hexagonal axes)
Unique sites:
Ac1 0.0000 0.0000 0.1091 x6
Al1 0.0000 0.0000 0.5000 x3
P1 0.0000 0.5000 0.0000 x9
Rh1 0.0057 0.5028 0.1343 x18
Rh2 0.0543 0.5271 0.3556 x18

Properties
**Total energy**: -366.578 eV/cell



(18)
Entry from Alexandria via LeMat-Bulk: a geometry-optimized AcPa2Al structure (PBE-GGA).

abc: 3.2601 3.2601 35.3788
angles: 90.00 90.00 120.00
Space group R-3m (No. 166, hexagonal axes)
Unique sites:
Ac1 0.0000 0.0000 0.0000 x3
Pa1 0.0000 0.0000 0.0952 x6
Al1 0.0000 0.0000 0.5000 x3

Properties
**Total energy**: -75.852 eV/cell



(19)
Entry from Alexandria via LeMat-Bulk: a geometry-optimized Ac2PaAl structure (PBE-GGA).

abc: 3.686 3.686 9.411
angles: 90.00 90.00 90.00
Space group P4/mmm (No. 123)
Unique sites:
Ac1 0.000 0.000 0.231 x2
Pa1 0.500 0.500 0.500 x1
Al1 0.500 0.500 0.000 x1

Properties
**Energy above the lowest structure with this stoichiometry**: 0.0 meV per atom



(20)
Entry from Alexandria via LeMat-Bulk: a geometry-optimized AcPaAl2 structure (PBE-GGA).

abc: 3.5018 3.5018 30.2821
angles: 90.00 90.00 120.00
Space group R-3m (No. 166, hexagonal axes)
Unique sites:
Ac1 0.0000 0.0000 0.0000 x3
Pa1 0.0000 0.0000 0.5000 x3
Al1 0.0000 0.0000 0.2447 x6

Properties
**Energy above the lowest structure with this stoichiometry**: 208.0 meV per atom



(21)
Entry from Alexandria via LeMat-Bulk: a geometry-optimized AcPaAl2 structure (PBE-GGA).

abc: 3.879 3.879 7.057
angles: 90.00 90.00 90.00
Space group P4/mmm (No. 123)
Unique sites:
Ac1 0.000 0.000 0.000 x1
Pa1 0.000 0.000 0.500 x1
Al1 0.500 0.500 0.297 x2

Properties
**Energy above the lowest structure with this stoichiometry**: 0.0 meV per atom



(22)
Entry from Alexandria via LeMat-Bulk: a geometry-optimized Ac2PaAl structure (PBE-GGA).

abc: 3.5081 3.5081 36.5348
angles: 90.00 90.00 120.00
Space group R-3m (No. 166, hexagonal axes)
Unique sites:
Ac1 0.0000 0.0000 0.0942 x6
Pa1 0.0000 0.0000 0.0000 x3
Al1 0.0000 0.0000 0.5000 x3

Properties
**Energy above the lowest structure with this stoichiometry**: 300.8 meV per atom



(23)
Entry from Alexandria via LeMat-Bulk: a geometry-optimized Ac2PaAl structure (PBE-GGA).

abc: 5.063 5.063 4.921
angles: 90.00 90.00 90.00
Space group P4/mmm (No. 123)
Unique sites:
Ac1 0.000 0.500 0.000 x2
Pa1 0.000 0.000 0.500 x1
Al1 0.500 0.500 0.500 x1

Properties
**Energy above the lowest structure with this stoichiometry**: 57.6 meV per atom



(24)
Entry from Alexandria via LeMat-Bulk: a geometry-optimized AcPaAl4 structure (PBE-GGA).

abc: 8.069 8.069 8.069
angles: 90.00 90.00 90.00
Space group F-43m (No. 216)
Unique sites:
Ac1 0.000 0.000 0.000 x4
Pa1 0.250 0.250 0.750 x4
Al1 0.124 0.124 0.376 x16

Properties
**Total energy**: -119.789 eV/cell